A plane-wave DFT calculation with GGA-PBE was carried out for crystalline Na3PuF6 at its relaxed geometry.

The space group is P2_1/c (No. 14) and the conventional cell measures 6.005, 5.968 and 10.359 Å, with angles of 90.00, 122.63 and 90.00 degrees. Symmetry generates all atoms from Na at (0.000, 0.000, 0.000), Na at (0.207, 0.046, 0.720), Pu at (0.500, 0.000, 0.500), F at (0.128, 0.174, 0.455), F at (0.207, 0.700, 0.396) and F at (0.412, 0.104, 0.265).

The total energy comes out at -6.01 eV/atom. The energy above the most stable polymorph in this dataset is 0.00 eV/f.u. As for the spin magnetization: 5.0 μB/f.u. For the theoretical density, the calculation gives 4.535 g/cm3.